Material: NaHF2
Method: DFT, GGA-PBEsol
State: relaxed Values from VASP.

Geometry as Quantum ESPRESSO input:
```
&SYSTEM
  ibrav = 0, nat = 4, ntyp = 3
/
ATOMIC_SPECIES
F 19.00 F.upf
H 1.01 H.upf
Na 22.99 Na.upf
CELL_PARAMETERS angstrom
3.445 0.000 0.000
1.723 2.984 0.000
1.723 0.995 4.600
ATOMIC_POSITIONS angstrom
F 3.445 1.989 3.444
F 3.445 1.989 1.156
H 3.445 1.989 2.300
Na 0.000 0.000 0.000
```

The total DFT energy (no corrections) comes out at -4.425 eV per atom. The calculation puts the total magnetic moment at 0.0 μB/f.u. The energy above the most stable polymorph in this dataset is 0 meV/atom. For the volume, the calculation gives 11.8 Å³ per atom.